No. 1
4
Lattice="-2.2523 -1.5238 -2.8546 1.5842 -0.8849 -3.5001 0.6812 -4.7970 -0.6993" Properties=species:S:1:pos:R:3 comment="TiFeGe2, relaxed, DFT PBE-GGA" delta_e_f_ev_per_atom=-0.217 spacegroup=R-3m e_tot_ev_per_atom=-6.615 magmom_total_mub_per_cell=0.3 pbc="T T T"
Ge 0.0579 -2.0428 -1.6777
Ti 0.0000 0.0000 0.0000
Fe 0.0065 -3.6028 -3.5270
Ge -0.0448 -5.1628 -5.3763

---

No. 2
48
Lattice="-5.7664 -1.0155 5.1171 4.3270 -6.8623 3.5143 4.5459 6.1108 6.3354" Properties=species:S:1:pos:R:3 comment="TiFeGe2, relaxed, DFT PBE-GGA" delta_e_f_ev_per_atom=-0.427 spacegroup=Pbam e_tot_ev_per_atom=-6.825 magmom_total_mub_per_cell=0.1 pbc="T T T"
Ge 5.6980 3.0195 7.0203
Ge 1.7499 -0.3844 11.7945
Ge 1.9267 0.1283 8.1050
Ge 1.1798 -1.8953 6.8618
Fe 2.2633 -2.7643 4.9764
Ge 6.4514 -2.3072 6.8122
Fe 3.7066 1.5016 7.4494
Ge 0.3009 -4.2199 5.4101
Ge 3.1749 -3.7710 2.8294
Ti -0.6149 -1.7020 4.8777
Ti 3.5590 4.3611 7.9837
Fe 0.7982 2.7957 4.4764
Fe 0.8432 0.9974 9.9904
Ge 4.0570 -1.3915 4.2956
Fe -0.6001 -3.2686 7.5174
Fe -2.7995 0.1143 5.7102
Ge -1.0361 2.2099 9.1697
Ti 0.9252 2.5157 7.4502
Fe 5.9060 -1.8813 9.2566
Ge 5.6445 0.3015 8.3385
Ge 8.1483 -1.2199 8.9401
Ti 1.9516 0.2501 5.3566
Ge 3.6091 -2.8063 9.4186
Ti 3.8883 -1.5357 7.1846
Ge 4.1426 -3.9769 5.7970
Ge -2.5380 -2.0684 6.6283
Ti -0.7818 -0.2312 7.7822
Ti 2.1813 -4.2826 7.5166
Ge 2.8584 2.8958 5.7137
Ge -2.1618 -0.0478 3.4628
Ge 2.4215 1.5557 3.0375
Ti 0.8256 3.8797 10.4093
Ti 2.2809 -5.6467 4.5575
Ge -0.5026 1.0393 5.5482
Ti 1.1549 -2.0171 9.6102
Fe 3.0426 -2.3855 11.7976
Ti -0.4525 -6.1280 6.9831
Ge 0.2481 -4.6627 9.2531
Fe -2.0187 2.2997 6.9761
Ge 2.8056 2.4530 9.5567
Ti 3.7214 -0.0650 10.0891
Fe 0.6887 -3.6909 3.0658
Fe -2.1281 -4.1869 5.5655
Fe 0.0639 0.6186 3.1692
Ge 5.2683 -1.7192 11.5040
Ge 0.7246 0.4684 0.9095
Ge 4.8159 0.6401 5.5540
Ge 1.3566 -1.3826 3.1723